No. 1
# LiAl2W

A relaxed LiAl2W crystal (PBE, the Alexandria database).

## Properties
energy above the lowest structure with this stoichiometry = 215.1 meV/atom
calculated formation energy = 130 meV/atom
crystal system = orthorhombic

Cell lengths 2.719, 2.719, 8.730 Å; angles 90.00, 90.00, 97.08 degrees
Fractional coordinates of all 4 atoms:
1 Al 0.000 0.000 0.995
2 Al 0.500 0.500 0.241
3 Li 0.000 0.000 0.501
4 W 0.500 0.500 0.763

No. 2
# Sr6PS2Br3

A relaxed Sr6PS2Br3 crystal (PBE, the Alexandria database).

## Properties
E_form (uncorrected) = -1.72 eV/atom
crystal system = monoclinic

Cell lengths 7.592, 7.592, 7.753 Å; angles 99.37, 99.37, 120.01 degrees
Fractional coordinates of all 12 atoms:
1 Sr 0.742 0.742 0.216
2 Sr 0.928 0.598 0.785
3 Sr 0.072 0.402 0.215
4 P 0.000 0.000 0.000
5 Sr 0.598 0.928 0.785
6 Br 0.832 0.168 0.500
7 S 0.334 0.666 0.000
8 Br 0.500 0.500 0.500
9 S 0.666 0.334 0.000
10 Br 0.168 0.832 0.500
11 Sr 0.258 0.258 0.784
12 Sr 0.402 0.072 0.215

No. 3
# YTa2Ge

A relaxed YTa2Ge crystal (PBE, the Alexandria database).

## Properties
calculated formation energy = 345 meV/atom
crystal system = tetragonal

Cell lengths 4.048, 4.048, 10.715 Å; angles 79.11, 79.11, 90.00 degrees
Fractional coordinates of all 8 atoms:
1 Ta 0.375 0.386 0.750
2 Ta 0.614 0.125 0.250
3 Y 0.000 0.000 0.000
4 Ge 0.250 0.750 0.500
5 Ta 0.875 0.864 0.750
6 Ge 0.500 0.500 0.000
7 Ta 0.136 0.625 0.250
8 Y 0.750 0.250 0.500

| no. | DOS(E_F) (states/eV/f.u.) | calculated volume (Å³/atom) |
| --- | --- | --- |
| 1 | 2.0 | 16.0 |
| 2 | 3.9 | 30.5 |
| 3 | 5.2 | 21.2 |